1.
! Tm5Sn2Ir2Ru GGA-PBE relaxed; values from VASP
&SYSTEM
  ibrav = 0, nat = 20, ntyp = 4
/
ATOMIC_SPECIES
Tm 168.93 Tm.upf
Sn 118.71 Sn.upf
Ir 192.22 Ir.upf
Ru 101.07 Ru.upf
CELL_PARAMETERS angstrom
11.4982 0.0000 0.0000
0.0000 11.4982 0.0000
0.0000 0.0000 3.4919
ATOMIC_POSITIONS crystal
Tm 0.0000 0.5000 0.0000
Tm 0.0637 0.1943 0.0000
Tm 0.1943 0.9363 0.0000
Tm 0.3057 0.4363 0.0000
Tm 0.4363 0.6943 0.0000
Tm 0.5000 0.0000 0.0000
Tm 0.5637 0.3057 0.0000
Tm 0.6943 0.5637 0.0000
Tm 0.8057 0.0637 0.0000
Tm 0.9363 0.8057 0.0000
Sn 0.1783 0.6783 0.5000
Sn 0.3217 0.1783 0.5000
Sn 0.6783 0.8217 0.5000
Sn 0.8217 0.3217 0.5000
Ir 0.1372 0.3628 0.5000
Ir 0.3628 0.8628 0.5000
Ir 0.6372 0.1372 0.5000
Ir 0.8628 0.6372 0.5000
Ru 0.0000 0.0000 0.5000
Ru 0.5000 0.5000 0.5000
! - E_form (eV/atom) = -0.619
! - VASP energy (eV per atom) = -6.355
! - SG = No. 127
! - total magnetic moment (Bohr magnetons per cell) = 0.00

2.
! Co2BiHRh GGA-PBE relaxed; values from VASP
&SYSTEM
  ibrav = 0, nat = 5, ntyp = 4
/
ATOMIC_SPECIES
Co 58.93 Co.upf
Bi 208.98 Bi.upf
H 1.01 H.upf
Rh 102.91 Rh.upf
CELL_PARAMETERS angstrom
3.9498 0.0000 0.0000
0.0000 3.9498 0.0000
0.0000 0.0000 3.8691
ATOMIC_POSITIONS crystal
Co 0.0000 0.5000 0.0000
Co 0.5000 0.0000 0.0000
Bi 0.0000 0.0000 0.5000
H 0.5000 0.5000 0.0000
Rh 0.5000 0.5000 0.5000
! - VASP energy (eV per atom) = -5.607
! - SG = No. 123
! - total magnetic moment (Bohr magnetons per cell) = 1.01

3.
! AlTcMo2 GGA-PBE relaxed; values from VASP
&SYSTEM
  ibrav = 0, nat = 4, ntyp = 3
/
ATOMIC_SPECIES
Al 26.98 Al.upf
Tc 98.00 Tc.upf
Mo 95.94 Mo.upf
CELL_PARAMETERS angstrom
2.7252 0.0000 0.0000
0.0000 4.3683 0.0000
-1.3368 0.0000 5.1044
ATOMIC_POSITIONS crystal
Al 0.0000 0.0000 0.0000
Tc 0.5000 0.0000 0.5000
Mo 0.2778 0.5000 0.7538
Mo 0.7222 0.5000 0.2462
! - E_form (eV/atom) = -0.105
! - VASP energy (eV per atom) = -9.048
! - SG = No. 10
! - total magnetic moment (Bohr magnetons per cell) = 0.00